## SmHoSiGe (PBE-GGA)

Data for a relaxed structure of SmHoSiGe.

It has space group Amm2 (No. 38), with a = 3.930 Å, b = 4.336 Å, c = 10.732 Å, α = 90.00°, β = 90.00° and γ = 90.00°. The distinct sites, in fractional coordinates, are Sm at (0.000, 0.000, 0.000), Ho at (0.500, 0.000, 0.278), Si at (0.000, 0.000, 0.721) and Ge at (0.500, 0.000, 0.562).

---

## Ho6Si2GeTe3 (PBE-GGA)

Data for a relaxed structure of Ho6Si2GeTe3.

It has space group C2/m (No. 12), with a = 18.624 Å, b = 4.212 Å, c = 8.567 Å, α = 90.00°, β = 104.82° and γ = 90.00°. The distinct sites, in fractional coordinates, are Ho at (0.007, 0.000, 0.234), Ho at (0.160, 0.500, 0.102), Ho at (0.174, 0.500, 0.565), Si at (0.167, 0.000, 0.333), Ge at (0.000, 0.500, 0.000), Te at (0.000, 0.500, 0.500) and Te at (0.166, 0.000, 0.833).

---

## Ho8Si3GeTe4 (PBE-GGA)

Data for a relaxed structure of Ho8Si3GeTe4.

It has space group R-3m (No. 166, hexagonal axes), with a = 8.4180 Å, b = 8.4180 Å, c = 21.1880 Å, α = 90.00°, β = 90.00° and γ = 120.00°. The distinct sites, in fractional coordinates, are Ho at (0.0000, 0.0000, 0.2393), Ho at (0.0011, 0.5005, 0.7605), Si at (0.0000, 0.5000, 0.5000), Ge at (0.0000, 0.0000, 0.5000), Te at (0.0000, 0.0000, 0.0000) and Te at (0.0000, 0.5000, 0.0000).

---

## Ho4SiGeTe2 (PBE-GGA)

Data for a relaxed structure of Ho4SiGeTe2.

It has space group P2/m (No. 10), with a = 7.296 Å, b = 4.218 Å, c = 7.465 Å, α = 90.00°, β = 109.00° and γ = 90.00°. The distinct sites, in fractional coordinates, are Ho at (0.238, 0.000, 0.218), Ho at (0.260, 0.500, 0.781), Si at (0.000, 0.500, 0.000), Ge at (0.500, 0.000, 0.000), Te at (0.000, 0.000, 0.500) and Te at (0.500, 0.500, 0.500).

---

Going through the records in order, we get magnetic moment values of 0.000; 0.000; 0.000; 0.000 μB per cell.
Going through the records in order, we get E_tot values of -5.656; -5.476; -5.485; -5.457 eV/atom.
Going through the records in order, we get energy relative to the elements, uncorrected values of -821; -1113; -1105; -1128 meV/atom.